KCoClF2 | PBE+U | relaxed

Structure (extended XYZ):
```
10
Lattice="-3.7591 0.4471 -0.0582 1.1786 -6.4003 -2.1557 -0.3921 -2.3980 6.9053" Properties=species:S:1:pos:R:3 pbc="T T T"
F -0.5790 -4.0800 6.0521
Cl -2.0143 -0.6993 1.5829
Cl -0.9583 -7.6518 3.1086
Co 0.0000 0.0000 0.0000
K -0.4797 -3.9633 0.5365
K -2.4928 -4.3879 4.1549
Co -0.1960 -1.1990 3.4527
F -0.4090 -3.0408 3.0595
F -2.5635 -5.3104 1.6320
F -2.3936 -4.2712 -1.3606
```

Values from the calculation:
As for the space group: No. 63. As for the mass density: 3.119 Mg/m³. Its energy above the most stable polymorph in this dataset is 0.0 kJ/mol of formula units. As for the total energy: -43.48 eV for the cell shown.